A:
A plane-wave DFT calculation with GGA-PBE was carried out for a relaxed Sc2ZnOs crystal.

Results
* crystal system: tetragonal

Cell: 3.2674 3.2674 6.6863 Å, 90.00 90.00 90.00°
Space group P4/mmm (No. 123)
Inequivalent atoms, fractional coordinates:
Sc (0.0000, 0.0000, 0.2306)
Zn (0.5000, 0.5000, 0.5000)
Os (0.5000, 0.5000, 0.0000)



B:
A plane-wave DFT calculation with GGA-PBE was carried out for a relaxed Sc2ZnOs crystal.

Results
* crystal system: orthorhombic

Cell: 3.1996 4.0626 5.6374 Å, 90.00 90.00 90.00°
Space group Pmm2 (No. 25)
Inequivalent atoms, fractional coordinates:
Sc (0.0000, 0.0000, 0.0000)
Sc (0.5000, 0.5000, 0.3242)
Zn (0.0000, 0.0000, 0.5354)
Os (0.5000, 0.5000, 0.8317)



Which of them is most stable? Easy: A.



A:
A plane-wave DFT calculation with GGA-PBE was carried out for a relaxed ZrSc2Os crystal.

Results
* crystal system: tetragonal

Cell: 7.9582 7.9582 5.6212 Å, 90.00 90.00 90.00°
Space group I-42d (No. 122)
Inequivalent atoms, fractional coordinates:
Zr (0.0000, 0.0000, 0.0000)
Sc (0.1852, 0.2500, 0.6250)
Os (0.0000, 0.0000, 0.5000)



B:
A plane-wave DFT calculation with GGA-PBE was carried out for a relaxed ZrSc2Os crystal.

Results
* crystal system: orthorhombic

Cell: 3.1516 4.3145 5.7492 Å, 90.00 90.00 90.00°
Space group Pmmm (No. 47)
Inequivalent atoms, fractional coordinates:
Zr (0.0000, 0.0000, 0.0000)
Sc (0.5000, 0.5000, 0.2719)
Os (0.0000, 0.0000, 0.5000)



Which of them is most stable? Easy: B.



A:
A plane-wave DFT calculation with GGA-PBE was carried out for a relaxed ZrSc2Os crystal.

Results
* crystal system: trigonal

Cell: 3.2311 3.2311 28.3152 Å, 90.00 90.00 120.00°
Space group R3m (No. 160, hexagonal axes)
Inequivalent atoms, fractional coordinates:
Zr (0.0000, 0.0000, 0.0000)
Sc (0.0000, 0.0000, 0.5275)
Sc (0.0000, 0.0000, 0.7588)
Os (0.0000, 0.0000, 0.2628)



B:
A plane-wave DFT calculation with GGA-PBE was carried out for a relaxed ZrSc2Os crystal.

Results
* crystal system: tetragonal

Cell: 4.7855 4.7855 6.7459 Å, 90.00 90.00 90.00°
Space group I-4m2 (No. 119)
Inequivalent atoms, fractional coordinates:
Zr (0.0000, 0.0000, 0.0000)
Sc (0.0000, 0.0000, 0.5000)
Sc (0.0000, 0.5000, 0.7500)
Os (0.0000, 0.5000, 0.2500)



C:
A plane-wave DFT calculation with GGA-PBE was carried out for a relaxed ZrSc2Os crystal.

Results
* crystal system: monoclinic

Cell: 3.1435 4.5078 5.7691 Å, 90.00 105.42 90.00°
Space group P2/m (No. 10)
Inequivalent atoms, fractional coordinates:
Zr (0.0000, 0.0000, 0.0000)
Sc (0.3232, 0.5000, 0.7262)
Os (0.5000, 0.0000, 0.5000)



Which of them is most stable? Easy: B.



A:
A plane-wave DFT calculation with GGA-PBE was carried out for a relaxed ZrSc2Os crystal.

Results
* crystal system: monoclinic

Cell: 3.1691 4.4842 5.8179 Å, 90.00 104.45 90.00°
Space group Pm (No. 6)
Inequivalent atoms, fractional coordinates:
Zr (0.0000, 0.0000, 0.0000)
Sc (0.3166, 0.5000, 0.7204)
Sc (0.6370, 0.0000, 0.4483)
Os (0.8150, 0.5000, 0.2150)



B:
A plane-wave DFT calculation with GGA-PBE was carried out for a relaxed ZrSc2Os crystal.

Results
* crystal system: trigonal

Cell: 3.1579 3.1579 28.3510 Å, 90.00 90.00 120.00°
Space group R-3m (No. 166, hexagonal axes)
Inequivalent atoms, fractional coordinates:
Zr (0.0000, 0.0000, 0.0000)
Sc (0.0000, 0.0000, 0.2373)
Os (0.0000, 0.0000, 0.5000)



C:
A plane-wave DFT calculation with GGA-PBE was carried out for a relaxed ZrSc2Os crystal.

Results
* crystal system: monoclinic

Cell: 5.7594 9.3854 3.0299 Å, 90.00 109.81 90.00°
Space group C2/m (No. 12)
Inequivalent atoms, fractional coordinates:
Zr (0.0000, 0.0000, 0.0000)
Sc (0.2500, 0.2500, 0.5000)
Os (0.0000, 0.5000, 0.0000)



D:
A plane-wave DFT calculation with GGA-PBE was carried out for a relaxed ZrSc2Os crystal.

Results
* crystal system: orthorhombic

Cell: 3.3230 4.7835 10.1208 Å, 90.00 90.00 90.00°
Space group Immm (No. 71)
Inequivalent atoms, fractional coordinates:
Zr (0.0000, 0.0000, 0.0000)
Sc (0.0000, 0.5000, 0.2122)
Os (0.0000, 0.0000, 0.5000)



Which of them is most stable? Easy: D.



A:
A plane-wave DFT calculation with GGA-PBE was carried out for a relaxed ZrSc2Os2 crystal.

Results
* crystal system: tetragonal

Cell: 7.5180 7.5180 3.3282 Å, 90.00 90.00 90.00°
Space group P4/mbm (No. 127)
Inequivalent atoms, fractional coordinates:
Zr (0.0000, 0.0000, 0.0000)
Sc (0.1459, 0.3541, 0.5000)
Os (0.1535, 0.6535, 0.0000)



B:
A plane-wave DFT calculation with GGA-PBE was carried out for a relaxed ZrSc2Os2 crystal.

Results
* crystal system: orthorhombic

Cell: 3.2176 19.5131 3.1914 Å, 90.00 90.00 90.00°
Space group Cmmm (No. 65)
Inequivalent atoms, fractional coordinates:
Zr (0.0000, 0.0000, 0.0000)
Sc (0.0000, 0.1676, 0.0000)
Os (0.0000, 0.4126, 0.5000)



Which of them is most stable? Easy: B.



A:
A plane-wave DFT calculation with GGA-PBE was carried out for a relaxed ZrScOs2 crystal.

Results
* crystal system: orthorhombic

Cell: 3.3058 4.8367 8.6137 Å, 90.00 90.00 90.00°
Space group Cmmm (No. 65)
Inequivalent atoms, fractional coordinates:
Zr (0.0000, 0.0000, 0.0000)
Sc (0.0000, 0.0000, 0.5000)
Os (0.0000, 0.5000, 0.2517)



B:
A plane-wave DFT calculation with GGA-PBE was carried out for a relaxed ZrScOs2 crystal.

Results
* crystal system: tetragonal

Cell: 3.2591 3.2591 6.4798 Å, 90.00 90.00 90.00°
Space group P4/mmm (No. 123)
Inequivalent atoms, fractional coordinates:
Zr (0.0000, 0.0000, 0.0000)
Sc (0.0000, 0.0000, 0.5000)
Os (0.5000, 0.5000, 0.2495)



C:
A plane-wave DFT calculation with GGA-PBE was carried out for a relaxed ZrScOs2 crystal.

Results
* crystal system: orthorhombic

Cell: 2.9953 4.3688 5.4421 Å, 90.00 90.00 90.00°
Space group Pmm2 (No. 25)
Inequivalent atoms, fractional coordinates:
Zr (0.0000, 0.0000, 0.0000)
Sc (0.5000, 0.5000, 0.6728)
Os (0.0000, 0.0000, 0.4984)
Os (0.5000, 0.5000, 0.1878)



Which of them is most stable? Easy: B.



A:
A plane-wave DFT calculation with GGA-PBE was carried out for a relaxed ZrScOs2 crystal.

Results
* crystal system: monoclinic

Cell: 9.9094 3.2772 4.8322 Å, 90.00 119.00 90.00°
Space group C2/m (No. 12)
Inequivalent atoms, fractional coordinates:
Zr (0.0000, 0.0000, 0.0000)
Sc (0.0000, 0.5000, 0.5000)
Os (0.2484, 0.5000, 0.2479)



B:
A plane-wave DFT calculation with GGA-PBE was carried out for a relaxed ZrScOs2 crystal.

Results
* crystal system: tetragonal

Cell: 7.2859 7.2859 5.5427 Å, 90.00 90.00 90.00°
Space group I-42d (No. 122)
Inequivalent atoms, fractional coordinates:
Zr (0.0000, 0.0000, 0.0000)
Sc (0.0000, 0.0000, 0.5000)
Os (0.2485, 0.7500, 0.1250)



C:
A plane-wave DFT calculation with GGA-PBE was carried out for a relaxed ZrScOs2 crystal.

Results
* crystal system: tetragonal

Cell: 4.5886 4.5886 3.2603 Å, 90.00 90.00 90.00°
Space group P4/mmm (No. 123)
Inequivalent atoms, fractional coordinates:
Zr (0.0000, 0.0000, 0.0000)
Sc (0.5000, 0.5000, 0.0000)
Os (0.0000, 0.5000, 0.5000)



D:
A plane-wave DFT calculation with GGA-PBE was carried out for a relaxed ZrScOs2 crystal.

Results
* crystal system: cubic

Cell: 6.4587 6.4587 6.4587 Å, 90.00 90.00 90.00°
Space group F-43m (No. 216)
Inequivalent atoms, fractional coordinates:
Zr (0.0000, 0.0000, 0.0000)
Sc (0.2500, 0.2500, 0.2500)
Os (0.0000, 0.0000, 0.5000)
Os (0.2500, 0.2500, 0.7500)



Which of them is most stable? Easy: C.



A:
A plane-wave DFT calculation with GGA-PBE was carried out for a relaxed ZrScOs2 crystal.

Results
* crystal system: monoclinic

Cell: 2.9041 4.5765 5.3047 Å, 90.00 102.68 90.00°
Space group Pm (No. 6)
Inequivalent atoms, fractional coordinates:
Zr (0.0000, 0.0000, 0.0000)
Sc (0.2692, 0.5000, 0.7227)
Os (0.5181, 0.0000, 0.5006)
Os (0.7646, 0.5000, 0.2336)



B:
A plane-wave DFT calculation with GGA-PBE was carried out for a relaxed ZrScOs2 crystal.

Results
* crystal system: tetragonal

Cell: 2.8973 2.8973 8.7499 Å, 90.00 90.00 90.00°
Space group P4mm (No. 99)
Inequivalent atoms, fractional coordinates:
Zr (0.0000, 0.0000, 0.0000)
Sc (0.5000, 0.5000, 0.6736)
Os (0.0000, 0.0000, 0.4385)
Os (0.5000, 0.5000, 0.2520)



Which of them is most stable? Easy: A.